A plane-wave DFT calculation with PBE was carried out for a relaxed Co2POs crystal.

The value obtained for the magnetization is 0.00 μB per atom. The value obtained for the density of states at the Fermi level is 0.91 states/eV per atom. For the final energy, the calculation gives -7.59 eV per atom.

The space group is I4/mmm (No. 139) and the conventional cell measures 3.5327, 3.5327 and 7.4082 Å, with angles of 90.00, 90.00 and 90.00 degrees. The asymmetric unit holds Co at (0.0000, 0.5000, 0.2500), P at (0.0000, 0.0000, 0.0000) and Os at (0.0000, 0.0000, 0.5000).